Sm7Ti4Se12O6 | PBEsol | optimized geometry

extended XYZ file:
```
29
Lattice="-0.652 3.700 0.094 -10.694 -1.836 -1.934 -1.976 -2.604 13.612" Properties=species:S:1:pos:R:3 pbc="T T T"
Sm -10.207 -0.164 10.694
Sm -3.131 -0.576 0.939
Sm -4.446 -1.074 11.365
Sm -8.802 0.350 0.261
Sm -7.880 0.334 7.265
Sm -5.450 -1.080 4.688
Sm -1.618 1.502 4.745
Ti -4.485 0.926 7.516
Ti -8.807 -1.666 4.441
Ti -7.643 -1.670 12.635
Ti -13.315 -0.739 11.754
Se -1.141 1.664 1.691
Se -12.215 -2.412 10.134
Se -7.703 0.467 3.247
Se -5.626 -1.210 8.539
Se -7.238 0.352 11.011
Se -6.070 -1.088 0.696
Se -2.778 -0.651 6.336
Se -10.579 -0.093 5.352
Se -3.356 1.071 9.645
Se -9.961 -1.810 2.120
Se -4.058 1.111 3.232
Se -9.285 -1.854 8.520
O -3.940 1.220 -0.232
O -9.383 -1.959 11.949
O -4.295 0.824 12.823
O -9.002 -1.561 -1.034
O -5.798 0.731 6.087
O -7.545 -1.477 5.763
```

Properties
Uncorrected formation energy: -2.21 eV/atom
Symmetry: Cm (8)
Crystal system: monoclinic
Theoretical density: 6.61 g/cm³